## 1
# Sb2CIBr

A geometry-optimized Sb2CIBr structure (PBE, Alexandria via LeMat-Bulk).

DOS(E_F) in states/eV per cell: 3.2
M_tot in Bohr magnetons per cell: 0.00

Unit cell a=4.9397 b=4.9397 c=5.0963 alpha=90.00 beta=90.00 gamma=90.00
Closest atoms and distances in Å follow each position.
Element x y z (fractional)
Sb 0.0000 0.5000 0.0000  2 C 2.47
Sb 0.5000 0.0000 0.0000  2 C 2.47
C 0.0000 0.0000 0.0000  4 Sb 2.47, 2 I 2.55
I 0.0000 0.0000 0.5000  2 C 2.55
Br 0.5000 0.5000 0.5000  4 I 3.49, 8 Sb 3.55



## 2
# Sb2CIBr

A geometry-optimized Sb2CIBr structure (PBE, Alexandria via LeMat-Bulk).

DOS(E_F) in states/eV per cell: 5.5
M_tot in Bohr magnetons per cell: 0.27

Unit cell a=5.6999 b=5.6999 c=5.7482 alpha=90.00 beta=90.00 gamma=90.00
Closest atoms and distances in Å follow each position.
Element x y z (fractional)
Sb 0.0000 0.5000 0.0000  2 Br 2.85
Sb 0.5000 0.0000 0.0000  2 Br 2.85
C 0.0000 0.0000 0.5000  4 I 4.03, 8 Sb 4.05
I 0.5000 0.5000 0.5000  2 Br 2.87
Br 0.5000 0.5000 0.0000  4 Sb 2.85, 2 I 2.87



The relative energies come out as 1 0; 2 1167, with values in meV per atom.



## 1
# CSeIBr2

A geometry-optimized CSeIBr2 structure (PBE, Alexandria via LeMat-Bulk).

DOS(E_F) in states/eV per cell: 3.3
M_tot in Bohr magnetons per cell: 0.00

Unit cell a=4.8070 b=4.8070 c=4.7305 alpha=90.00 beta=90.00 gamma=90.00
Closest atoms and distances in Å follow each position.
Element x y z (fractional)
C 0.0000 0.0000 0.0000  2 Se 2.37, 4 Br 2.40
Se 0.0000 0.0000 0.5000  2 C 2.37
I 0.5000 0.5000 0.5000  8 Br 3.37, 4 Se 3.40
Br 0.0000 0.5000 0.0000  2 C 2.40
Br 0.5000 0.0000 0.0000  2 C 2.40



## 2
# CSeIBr2

A geometry-optimized CSeIBr2 structure (PBE, Alexandria via LeMat-Bulk).

DOS(E_F) in states/eV per cell: 3.8
M_tot in Bohr magnetons per cell: 2.71

Unit cell a=6.2220 b=6.2220 c=4.0856 alpha=90.00 beta=90.00 gamma=90.00
Closest atoms and distances in Å follow each position.
Element x y z (fractional)
C 0.0000 0.0000 0.0000  2 I 2.04
Se 0.5000 0.5000 0.0000  8 Br 3.72, 2 Se 4.09
I 0.0000 0.0000 0.5000  2 C 2.04
Br 0.0000 0.5000 0.5000  2 I 3.11
Br 0.5000 0.0000 0.5000  2 I 3.11



## 3
# CSeIBr2

A geometry-optimized CSeIBr2 structure (PBE, Alexandria via LeMat-Bulk).

DOS(E_F) in states/eV per cell: 9.3
M_tot in Bohr magnetons per cell: 1.21

Unit cell a=5.7289 b=5.7289 c=5.4748 alpha=90.00 beta=90.00 gamma=90.00
Closest atoms and distances in Å follow each position.
Element x y z (fractional)
C 0.0000 0.0000 0.0000  8 Br 3.96, 4 Se 4.05
Se 0.5000 0.5000 0.0000  2 I 2.74
I 0.5000 0.5000 0.5000  2 Se 2.74, 4 Br 2.86
Br 0.0000 0.5000 0.5000  2 I 2.86
Br 0.5000 0.0000 0.5000  2 I 2.86



The relative energies come out as 1 0; 2 407; 3 639, with values in meV per atom.



## 1
# InC2Br

A geometry-optimized InC2Br structure (PBE, Alexandria via LeMat-Bulk).

DOS(E_F) in states/eV per cell: 3.4
M_tot in Bohr magnetons per cell: 0.00

Unit cell a=6.6776 b=6.6776 c=6.6776 alpha=135.69 beta=135.69 gamma=64.45
Closest atoms and distances in Å follow each position.
Element x y z (fractional)
In 0.0000 0.0000 0.0000  4 C 2.27
In 0.7500 0.2500 0.5000  4 C 2.27
C 0.1241 0.6250 0.9991  2 In 2.27, 2 Br 2.28
C 0.3750 0.3741 0.4991  2 In 2.27, 2 Br 2.28
C 0.6259 0.1250 0.0009  2 In 2.27, 2 Br 2.28
C 0.8750 0.8759 0.5009  2 In 2.27, 2 Br 2.28
Br 0.2500 0.7500 0.5000  4 C 2.28
Br 0.5000 0.5000 0.0000  4 C 2.28



## 2
# InC2Br

A geometry-optimized InC2Br structure (PBE, Alexandria via LeMat-Bulk).

DOS(E_F) in states/eV per cell: 2.8
M_tot in Bohr magnetons per cell: 0.00

Unit cell a=4.4113 b=4.4113 c=4.4113 alpha=60.00 beta=60.00 gamma=60.00
Closest atoms and distances in Å follow each position.
Element x y z (fractional)
In 0.0000 0.0000 0.0000  8 C 2.70
C 0.2500 0.2500 0.2500  4 In 2.70, 4 Br 2.70
C 0.7500 0.7500 0.7500  4 In 2.70, 4 Br 2.70
Br 0.5000 0.5000 0.5000  8 C 2.70



The relative energies come out as 1 0; 2 566, with values in meV per atom.